## TlNiH6Ir (PBE)

Data for a relaxed structure of TlNiH6Ir.

Results
Total energy   -36.16 eV per cell
DOS(E_F)   3.35 states/eV per cell
Space-group type   P312, No. 149

POSCAR file:
```
TlNiH6Ir
1.0
-1.507 -1.128 4.129
2.152 -3.187 2.409
3.335 3.996 2.309
H Ir Ni Tl
6 1 1 1
direct
0.003 0.632 0.666 H
0.365 0.004 0.666 H
0.632 0.365 0.666 H
0.004 0.365 0.334 H
0.632 0.004 0.334 H
0.365 0.632 0.334 H
0.333 0.333 0.500 Ir
0.667 0.667 0.500 Ni
0.000 0.000 0.000 Tl
```

---

## Cs2TlHg2 (PBE)

Data for a relaxed structure of Cs2TlHg2.

Results
Formation energy   -0.082 eV/atom
DOS(E_F)   4.22 states/eV per cell
Space-group type   I4/mmm, No. 139
Offset from the most stable computed form   2.73 kcal/mol of atoms

POSCAR file:
```
Cs2TlHg2
1.0
4.614 0.000 0.000
0.000 4.614 0.000
2.307 2.307 11.200
Cs Hg Tl
2 2 1
direct
0.390 0.390 0.220 Cs
0.610 0.610 0.780 Cs
0.250 0.750 0.500 Hg
0.750 0.250 0.500 Hg
0.000 0.000 0.000 Tl
```

---

## LiBC (PBE)

Data for a relaxed structure of LiBC.

Results
Formation energy   -0.064 eV/atom
DOS(E_F)   0.98 states/eV per cell
Space-group type   C2/m, No. 12

POSCAR file:
```
LiBC
1.0
-2.302 -0.989 -1.096
2.425 -0.856 -0.909
0.971 -8.518 5.650
C Li B
2 2 2
direct
0.883 0.766 0.795 C
0.117 0.234 0.205 C
0.611 0.222 0.645 Li
0.389 0.778 0.355 Li
0.215 0.430 0.804 B
0.785 0.570 0.196 B
```